[1]
BaSrAs2 | GGA-PBEsol | optimized geometry

The energy is -0.1615 hartree per atom. The value obtained for the energy above the most stable polymorph in this dataset is 141 meV per atom. The energy of formation from the pure elements is -0.843 eV/atom.

The space group is P4/mmm (No. 123) and the conventional cell measures 5.825, 5.825 and 3.294 Å, with angles of 90.00, 90.00 and 90.00 degrees. Symmetry generates all atoms from Ba at (0.000, 0.000, 0.000), Sr at (0.500, 0.500, 0.000) and As at (0.000, 0.500, 0.500).

***

[2]
Ca2TlBr | GGA-PBEsol | optimized geometry

The energy is -0.1158 hartree per atom. The value obtained for the energy above the most stable polymorph in this dataset is 0 meV per atom.

The space group is P2/m (No. 10) and the conventional cell measures 3.848, 3.696 and 8.436 Å, with angles of 90.00, 90.16 and 90.00 degrees. Symmetry generates all atoms from Ca at (0.002, 0.000, 0.224), Tl at (0.500, 0.500, 0.000) and Br at (0.000, 0.500, 0.500).